Crystalline Rb3Cd5H12 at its relaxed geometry, computed with PBE-GGA.

Geometry as POSCAR:
```
Rb3Cd5H12
1.0
-6.886 6.886 6.886
6.886 -6.886 6.886
6.886 6.886 -6.886
Rb Cd H
12 20 48
Direct
0.125 0.250 0.375 Rb
0.125 0.375 0.750 Rb
0.250 0.375 0.125 Rb
0.250 0.875 0.625 Rb
0.375 0.125 0.250 Rb
0.375 0.750 0.125 Rb
0.625 0.250 0.875 Rb
0.625 0.875 0.750 Rb
0.750 0.125 0.375 Rb
0.750 0.625 0.875 Rb
0.875 0.625 0.250 Rb
0.875 0.750 0.625 Rb
0.000 0.000 0.000 Cd
0.000 0.000 0.500 Cd
0.000 0.500 0.000 Cd
0.000 0.500 0.500 Cd
0.125 0.750 0.875 Cd
0.125 0.875 0.250 Cd
0.250 0.125 0.875 Cd
0.250 0.625 0.375 Cd
0.375 0.250 0.625 Cd
0.375 0.625 0.750 Cd
0.500 0.000 0.000 Cd
0.500 0.000 0.500 Cd
0.500 0.500 0.000 Cd
0.500 0.500 0.500 Cd
0.625 0.375 0.250 Cd
0.625 0.750 0.375 Cd
0.750 0.375 0.625 Cd
0.750 0.875 0.125 Cd
0.875 0.125 0.750 Cd
0.875 0.250 0.125 Cd
0.005 0.685 0.107 H
0.005 0.820 0.898 H
0.078 0.680 0.685 H
0.078 0.898 0.393 H
0.102 0.607 0.922 H
0.102 0.995 0.180 H
0.107 0.005 0.685 H
0.107 0.602 0.422 H
0.180 0.102 0.995 H
0.180 0.578 0.185 H
0.185 0.180 0.578 H
0.185 0.505 0.607 H
0.315 0.893 0.995 H
0.315 0.922 0.320 H
0.320 0.315 0.922 H
0.320 0.505 0.398 H
0.393 0.078 0.898 H
0.393 0.815 0.495 H
0.398 0.320 0.505 H
0.398 0.578 0.893 H
0.422 0.107 0.602 H
0.422 0.815 0.820 H
0.495 0.393 0.815 H
0.495 0.602 0.680 H
0.505 0.398 0.320 H
0.505 0.607 0.185 H
0.578 0.185 0.180 H
0.578 0.893 0.398 H
0.602 0.422 0.107 H
0.602 0.680 0.495 H
0.607 0.185 0.505 H
0.607 0.922 0.102 H
0.680 0.495 0.602 H
0.680 0.685 0.078 H
0.685 0.078 0.680 H
0.685 0.107 0.005 H
0.815 0.495 0.393 H
0.815 0.820 0.422 H
0.820 0.422 0.815 H
0.820 0.898 0.005 H
0.893 0.398 0.578 H
0.893 0.995 0.315 H
0.898 0.005 0.820 H
0.898 0.393 0.078 H
0.922 0.102 0.607 H
0.922 0.320 0.315 H
0.995 0.180 0.102 H
0.995 0.315 0.893 H
```

Properties
- symmetry = Ia-3d

Crystalline RbCd2H2 at its relaxed geometry, computed with PBE-GGA.

Geometry as POSCAR:
```
RbCd2H2
1.0
4.505 0.000 0.000
0.000 4.505 0.000
0.000 0.000 10.081
Rb Cd H
2 4 4
Direct
0.000 0.000 0.000 Rb
0.500 0.500 0.500 Rb
0.000 0.000 0.344 Cd
0.000 0.000 0.656 Cd
0.500 0.500 0.156 Cd
0.500 0.500 0.844 Cd
0.000 0.500 0.250 H
0.000 0.500 0.750 H
0.500 0.000 0.250 H
0.500 0.000 0.750 H
```

Properties
- symmetry = I4/mmm

Number 1: final energy -2.331 eV/atom, spin magnetization 0.0 μB/f.u.. Number 2: final energy -1.669 eV/atom, spin magnetization 0.0 μB/f.u..